Here is an optimized crystal structure of Pm6Ir2Br3N from Alexandria via LeMat-Bulk. Energies are from PBE.

Geometry as POSCAR:
```
Pm6Ir2Br3N
1.0
3.4864 -6.0276 0.0000
3.4864 6.0276 0.0000
-2.2572 0.0000 7.6647
Pm Ir Br N
6 2 3 1
Cartesian
1.0903 1.8790 1.4252
-0.0701 0.0000 6.2327
1.0903 -1.8790 1.4252
3.6253 1.8790 6.2395
4.7857 0.0000 1.4319
3.6253 -1.8790 6.2395
3.4864 2.0151 0.0000
3.4864 -2.0151 0.0000
2.3578 4.0679 3.8323
2.3578 0.0000 3.8323
2.3578 -4.0679 3.8323
0.0000 0.0000 0.0000
```

Summary:
Crystal system ... monoclinic
Uncorrected formation energy ... -1.158 eV per atom